## TaHgTe2 (GGA-PBE)

Data for a relaxed structure of TaHgTe2.

Cell: 6.9628 8.5782 6.6511 Å, 90.00 90.00 90.00°
Fractional coordinates of all 16 atoms:
Ta (0.3466, 0.0000, 0.5205)
Ta (0.6534, 0.0000, 0.0205)
Ta (0.1534, 0.5000, 0.0205)
Ta (0.8466, 0.5000, 0.5205)
Te (0.8570, 0.6952, 0.1789)
Te (0.8570, 0.3048, 0.1789)
Te (0.3570, 0.1952, 0.1789)
Te (0.1430, 0.3048, 0.6789)
Te (0.1430, 0.6952, 0.6789)
Te (0.6430, 0.1952, 0.6789)
Te (0.3570, 0.8048, 0.1789)
Te (0.6430, 0.8048, 0.6789)
Hg (0.5430, 0.5000, 0.8714)
Hg (0.0430, 0.0000, 0.8714)
Hg (0.9570, 0.0000, 0.3714)
Hg (0.4570, 0.5000, 0.3714)

Summary:
space-group type: Cmc2_1
raw formation energy: 0.12 eV/atom
density of states at the Fermi level: 11.1 states/eV per cell
VASP energy: -18.0 eV per formula unit

***

## La2CeRh (GGA-PBE)

Data for a relaxed structure of La2CeRh.

Cell: 3.8262 3.8262 10.8093 Å, 79.81 79.81 60.00°
Site moments in Bohr magnetons follow the coordinates.
Fractional coordinates of all 4 atoms:
La (0.8895, 0.8895, 0.3316)  0.05
La (0.1105, 0.1105, 0.6684)  0.05
Ce (0.0000, 0.0000, 0.0000)  1.26
Rh (0.5000, 0.5000, 0.5000)  0.01

Summary:
space-group type: R-3m
density of states at the Fermi level: 9.4 states/eV per cell
VASP energy: -23.5 eV per formula unit
relative energy among the computed polymorphs: 309 meV per atom
formation enthalpy at 0 K: -0.092 eV/atom

***

## Zr2ReAu (GGA-PBE)

Data for a relaxed structure of Zr2ReAu.

Cell: 3.3665 3.3665 6.7714 Å, 90.00 90.00 90.00°
Fractional coordinates of all 4 atoms:
Zr (0.0000, 0.0000, 0.9837)
Zr (0.0000, 0.0000, 0.5163)
Au (0.5000, 0.5000, 0.2500)
Re (0.5000, 0.5000, 0.7500)

Summary:
space-group type: P4/mmm
density of states at the Fermi level: 3.3 states/eV per cell
VASP energy: -34.5 eV per formula unit
relative energy among the computed polymorphs: 0 meV per atom
formation enthalpy at 0 K: -0.412 eV/atom

***

## CeCdSb2 (GGA-PBE)

Data for a relaxed structure of CeCdSb2.

Cell: 4.7481 4.7481 8.9133 Å, 74.55 74.55 60.00°
Site moments in Bohr magnetons follow the coordinates.
Fractional coordinates of all 4 atoms:
Sb (0.8937, 0.8937, 0.3188)  -0.01
Sb (0.1063, 0.1063, 0.6812)  -0.01
Ce (0.5000, 0.5000, 0.5000)  0.20
Cd (0.0000, 0.0000, 0.0000)  0.00

Summary:
space-group type: R-3m
raw formation energy: -0.23 eV/atom
density of states at the Fermi level: 0.6 states/eV per cell
VASP energy: -16.0 eV per formula unit
relative energy among the computed polymorphs: 358 meV per atom

***

## PrTlInPb (GGA-PBE)

Data for a relaxed structure of PrTlInPb.

Cell: 5.5424 5.5424 5.5424 Å, 60.00 60.00 60.00°
Fractional coordinates of all 4 atoms:
Tl (0.2500, 0.2500, 0.2500)
Pr (0.0000, 0.0000, 0.0000)
Pb (0.5000, 0.5000, 0.5000)
In (0.7500, 0.7500, 0.7500)

Summary:
space-group type: F-43m
density of states at the Fermi level: 2.2 states/eV per cell
VASP energy: -14.4 eV per formula unit
relative energy among the computed polymorphs: 193 meV per atom
formation enthalpy at 0 K: -0.195 eV/atom

***

## LiMg3 (GGA-PBE)

Data for a relaxed structure of LiMg3.

Cell: 8.2909 8.2909 8.9702 Å, 90.00 90.00 120.00°
Fractional coordinates of all 24 atoms:
Li (0.0000, 0.3334, 0.0613)
Li (0.6666, 0.6666, 0.0613)
Li (0.0000, 0.6666, 0.5613)
Li (0.3334, 0.3334, 0.5613)
Li (0.6666, 0.0000, 0.5613)
Li (0.3334, 0.0000, 0.0613)
Mg (0.3333, 0.6667, 0.1716)
Mg (0.0000, 0.0000, 0.9725)
Mg (0.2746, 0.0000, 0.7311)
Mg (0.0000, 0.6285, 0.8961)
Mg (0.6667, 0.3333, 0.6716)
Mg (0.0000, 0.0000, 0.4725)
Mg (0.6285, 0.6285, 0.3961)
Mg (0.2746, 0.2746, 0.2311)
Mg (0.3715, 0.3715, 0.8961)
Mg (0.3715, 0.0000, 0.3961)
Mg (0.6285, 0.0000, 0.8961)
Mg (0.0000, 0.3715, 0.3961)
Mg (0.0000, 0.2746, 0.7311)
Mg (0.7254, 0.0000, 0.2311)
Mg (0.6667, 0.3333, 0.1716)
Mg (0.0000, 0.7254, 0.2311)
Mg (0.7254, 0.7254, 0.7311)
Mg (0.3333, 0.6667, 0.6716)

Summary:
space-group type: P6_3cm
density of states at the Fermi level: 8.0 states/eV per cell
VASP energy: -6.7 eV per formula unit
formation enthalpy at 0 K: 0.011 eV/atom

***

## GdZr2Co (GGA-PBE)

Data for a relaxed structure of GdZr2Co.

Cell: 3.3571 3.3571 9.9725 Å, 80.31 80.31 60.00°
Site moments in Bohr magnetons follow the coordinates.
Fractional coordinates of all 4 atoms:
Co (0.5000, 0.5000, 0.5000)  0.03
Zr (0.1111, 0.1111, 0.6666)  -0.01
Zr (0.8889, 0.8889, 0.3334)  -0.01
Gd (0.0000, 0.0000, 0.0000)  7.33

Summary:
space-group type: R-3m
density of states at the Fermi level: 4.8 states/eV per cell
VASP energy: -37.4 eV per formula unit
relative energy among the computed polymorphs: 231 meV per atom
formation enthalpy at 0 K: 0.221 eV/atom

***

## LiAsIr2 (GGA-PBE)

Data for a relaxed structure of LiAsIr2.

Cell: 3.0017 4.5979 4.1936 Å, 90.00 90.00 90.00°
Fractional coordinates of all 4 atoms:
Ir (0.0000, 0.0000, 0.0000)
Ir (0.5000, 0.5000, 0.0000)
As (0.0000, 0.5000, 0.5000)
Li (0.5000, 0.0000, 0.5000)

Summary:
space-group type: Pmmm
density of states at the Fermi level: 2.9 states/eV per cell
VASP energy: -24.1 eV per formula unit
formation enthalpy at 0 K: 0.056 eV/atom

***

## YHfTa3 (GGA-PBE)

Data for a relaxed structure of YHfTa3.

Cell: 4.9008 4.9008 4.9008 Å, 90.00 90.00 90.00°
Fractional coordinates of all 5 atoms:
Y (0.0000, 0.0000, 0.0000)
Ta (0.0000, 0.0000, 0.5000)
Ta (0.5000, 0.0000, 0.0000)
Ta (0.0000, 0.5000, 0.0000)
Hf (0.5000, 0.5000, 0.5000)

Summary:
space-group type: Pm-3m
density of states at the Fermi level: 5.9 states/eV per cell
VASP energy: -41.5 eV per formula unit
relative energy among the computed polymorphs: 682 meV per atom
formation enthalpy at 0 K: 2.087 eV/atom

***

## CeNd12In3 (GGA-PBE)

Data for a relaxed structure of CeNd12In3.

Cell: 4.9936 4.9936 20.3728 Å, 90.00 90.00 90.00°
Site moments in Bohr magnetons follow the coordinates.
Fractional coordinates of all 16 atoms:
In (0.0000, 0.0000, 0.2548)  0.00
In (0.0000, 0.0000, 0.5000)  0.00
In (0.0000, 0.0000, 0.7452)  0.00
Nd (0.5000, 0.0000, 0.3769)  -0.01
Nd (0.5000, 0.0000, 0.6231)  -0.01
Nd (0.0000, 0.5000, 0.6231)  -0.01
Nd (0.5000, 0.0000, 0.8705)  0.02
Nd (0.5000, 0.5000, 0.7458)  0.00
Nd (0.5000, 0.5000, 0.5000)  0.00
Nd (0.0000, 0.5000, 0.8705)  0.02
Nd (0.5000, 0.5000, 0.0000)  0.03
Nd (0.0000, 0.5000, 0.3769)  -0.01
Nd (0.5000, 0.0000, 0.1295)  0.02
Nd (0.5000, 0.5000, 0.2542)  0.00
Nd (0.0000, 0.5000, 0.1295)  0.02
Ce (0.0000, 0.0000, 0.0000)  0.70

Summary:
space-group type: P4/mmm
density of states at the Fermi level: 26.1 states/eV per cell
VASP energy: -74.3 eV per formula unit
formation enthalpy at 0 K: -0.181 eV/atom

***

## Na2CdNiCl6 (GGA-PBE)

Data for a relaxed structure of Na2CdNiCl6.

Cell: 6.7588 6.7593 7.0166 Å, 61.21 61.21 59.99°
Site moments in Bohr magnetons follow the coordinates.
Fractional coordinates of all 10 atoms:
Cl (0.4450, 0.6763, 0.7770)  0.06
Cl (0.6762, 0.1016, 0.7772)  0.06
Cl (0.1979, 0.9751, 0.2567)  0.07
Cl (0.5702, 0.1980, 0.2567)  0.07
Cl (0.1016, 0.4450, 0.7771)  0.06
Cl (0.9752, 0.5701, 0.2567)  0.07
Ni (0.3230, 0.3230, 0.0311)  1.45
Na (0.0242, 0.0242, 0.9274)  0.00
Na (0.5297, 0.5297, 0.4109)  0.00
Cd (0.8185, 0.8186, 0.5443)  0.02

Summary:
space-group type: R3
raw formation energy: -1.17 eV/atom
VASP energy: -32.1 eV per formula unit

***

## YF (GGA-PBE)

Data for a relaxed structure of YF.

Cell: 10.7385 5.7625 3.6886 Å, 90.00 90.00 90.00°
Fractional coordinates of all 12 atoms:
Y (0.0000, 0.7470, 0.5000)
Y (0.1636, 0.2324, 0.0000)
Y (0.3364, 0.7676, 0.5000)
Y (0.8364, 0.2324, 0.0000)
Y (0.5000, 0.2530, 0.0000)
Y (0.6636, 0.7676, 0.5000)
F (0.6661, 0.5138, 0.0000)
F (0.1661, 0.4862, 0.5000)
F (0.3339, 0.5138, 0.0000)
F (0.8339, 0.4862, 0.5000)
F (0.0000, 0.1495, 0.5000)
F (0.5000, 0.8505, 0.0000)

Summary:
space-group type: Pmmn
raw formation energy: -2.52 eV/atom
density of states at the Fermi level: 3.1 states/eV per cell
VASP energy: -13.4 eV per formula unit
relative energy among the computed polymorphs: 74 meV per atom